VASP calculation (SCAN) on AlTlSe at its PBEsol-relaxed geometry.

Results
Density of states at the Fermi level: 0.10 states/eV per cell
Electronic total energy: -33.13 eV per atom

Cell: 6.9508 6.9508 6.9508 Å, 90.00 90.00 90.00°
Space group F-43m (No. 216)
Unique sites:
Al 0.0000 0.0000 0.0000 [4 per cell]
Tl 0.2500 0.2500 0.2500 [4 per cell]
Se 0.0000 0.0000 0.5000 [4 per cell]

VASP calculation (SCAN) on AlTlSe4 at its PBEsol-relaxed geometry.

Results
Density of states at the Fermi level: 10.27 states/eV per cell
Electronic total energy: -26.36 eV per atom

Cell: 8.2246 8.2246 8.2246 Å, 90.00 90.00 90.00°
Space group F-43m (No. 216)
Unique sites:
Al 0.0000 0.0000 0.0000 [4 per cell]
Tl 0.2500 0.2500 0.7500 [4 per cell]
Se 0.1258 0.1258 0.3742 [16 per cell]

VASP calculation (SCAN) on Al4WSe at its PBEsol-relaxed geometry.

Results
Density of states at the Fermi level: 8.27 states/eV per cell
Electronic total energy: -19.78 eV per atom

Cell: 7.2430 7.2430 7.2430 Å, 90.00 90.00 90.00°
Space group F-43m (No. 216)
Unique sites:
Al 0.1243 0.1243 0.1243 [16 per cell]
W 0.2500 0.2500 0.7500 [4 per cell]
Se 0.0000 0.0000 0.5000 [4 per cell]

VASP calculation (SCAN) on AlWSe2 at its PBEsol-relaxed geometry.

Results
Density of states at the Fermi level: 1.68 states/eV per cell
Electronic total energy: -29.16 eV per atom

Cell: 3.0939 3.0939 7.2537 Å, 90.00 90.00 90.00°
Space group P4/mmm (No. 123)
Unique sites:
Al 0.0000 0.0000 0.0000 [1 per cell]
W 0.0000 0.0000 0.5000 [1 per cell]
Se 0.5000 0.5000 0.2884 [2 per cell]